NaSn3Rh2: optimized geometry, PBE.

**ΔE_f**: -234 meV/atom
**Space group**: Imma (74)
**Total magnetization**: 0.0 Bohr magnetons per cell
**Volume**: 23.0 A^3/atom

Lattice parameters (Å, degrees): 7.303 7.303 7.303 118.83 90.10 121.06
Positions (direct):
1 Na 0.426 0.176 0.250
2 Na 0.574 0.824 0.750
3 Sn 0.000 0.000 0.500
4 Sn 0.000 0.294 0.294
5 Sn 0.000 0.500 0.000
6 Sn 0.000 0.706 0.706
7 Sn 0.500 0.294 0.794
8 Sn 0.500 0.706 0.206
9 Rh 0.140 0.201 0.939
10 Rh 0.238 0.799 0.439
11 Rh 0.762 0.201 0.561
12 Rh 0.860 0.799 0.061